[1]
Here is KAl2 after structural relaxation from Alexandria via LeMat-Bulk. Energies are from PBE-GGA.

Geometry as CIF:
```
data_KAl2
_space_group_name_H-M_alt 'P 1'
_space_group_IT_number 1
_cell_length_a 5.948
_cell_length_b 5.948
_cell_length_c 5.948
_cell_angle_alpha 60.00
_cell_angle_beta 60.00
_cell_angle_gamma 60.00
loop_
_space_group_symop_operation_xyz
'x,y,z'
loop_
_atom_site_label
_atom_site_type_symbol
_atom_site_fract_x
_atom_site_fract_y
_atom_site_fract_z
K1 K 0.125 0.125 0.125
K2 K 0.875 0.875 0.875
Al1 Al 0.000 0.500 0.500
Al2 Al 0.500 0.000 0.500
Al3 Al 0.500 0.500 0.000
Al4 Al 0.500 0.500 0.500
```

Values from the calculation:
The total energy comes out at -16.009 eV/cell. The calculation puts the formation energy at 0.19 eV/atom. The value obtained for the excess energy over the best structure of this formula in the dataset is 23 meV per atom.

=====

[2]
Here is KAl3 after structural relaxation from Alexandria via LeMat-Bulk. Energies are from PBE-GGA.

Geometry as CIF:
```
data_KAl3
_space_group_name_H-M_alt 'P 1'
_space_group_IT_number 1
_cell_length_a 4.249
_cell_length_b 5.911
_cell_length_c 8.113
_cell_angle_alpha 90.00
_cell_angle_beta 90.00
_cell_angle_gamma 90.00
loop_
_space_group_symop_operation_xyz
'x,y,z'
loop_
_atom_site_label
_atom_site_type_symbol
_atom_site_fract_x
_atom_site_fract_y
_atom_site_fract_z
K1 K 0.250 0.250 0.061
K2 K 0.750 0.750 0.939
Al1 Al 0.250 0.522 0.615
Al2 Al 0.250 0.750 0.309
Al3 Al 0.250 0.978 0.615
Al4 Al 0.750 0.022 0.385
Al5 Al 0.750 0.250 0.691
Al6 Al 0.750 0.478 0.385
```

Values from the calculation:
The total energy comes out at -23.814 eV/cell. The calculation puts the formation energy at 0.10 eV/atom.